Density functional theory data (PBE-GGA) for a relaxed structure of Be2PPt.

Values from the calculation:
DOS at the Fermi energy	1.4	states/eV/f.u.
volume	15.279	A^3/atom
space group	I-42d
energy of formation	11.3	kJ per mole of atoms

Lattice parameters (Å, degrees): 5.389 5.389 8.419 90.00 90.00 90.00
Fractional positions:
1 Be 0.236 0.250 0.125
2 Be 0.250 0.736 0.375
3 Be 0.250 0.764 0.875
4 Be 0.264 0.250 0.625
5 Be 0.736 0.750 0.625
6 Be 0.750 0.236 0.875
7 Be 0.750 0.264 0.375
8 Be 0.764 0.750 0.125
9 P 0.000 0.000 0.000
10 P 0.000 0.500 0.250
11 P 0.500 0.000 0.750
12 P 0.500 0.500 0.500
13 Pt 0.000 0.000 0.500
14 Pt 0.000 0.500 0.750
15 Pt 0.500 0.000 0.250
16 Pt 0.500 0.500 0.000